The following is a DFT calculation (PBE) of a relaxed structure of ZnTc2Ag.

Cell lengths 2.622, 2.622, 8.824 Å; angles 90.00, 90.00, 90.00 degrees
Atoms (fractional coordinates):
Ag 0.500 0.500 0.750
Tc 0.000 0.000 0.014
Tc 0.000 0.000 0.486
Zn 0.500 0.500 0.250

Properties
Calculated total energy = -5.8266 eV/atom
Calculated volume = 60.7 Å³/f.u.
N(E_F) = 3.09 states/eV per cell
Total moment = 0.000 μB/atom

***

The following is a DFT calculation (PBE) of a relaxed structure of ZnTcAg2.

Cell lengths 4.873, 4.873, 5.211 Å; angles 81.46, 81.46, 31.86 degrees
Atoms (fractional coordinates):
Ag 0.994 0.994 0.994
Ag 0.751 0.751 0.751
Tc 0.506 0.506 0.478
Zn 0.249 0.249 0.277

Properties
Calculated total energy = -4.0083 eV/atom
Calculated volume = 64.5 Å³/f.u.
N(E_F) = 2.22 states/eV per cell
Total moment = 0.000 μB/atom

***

| no. | ΔE_f (eV per atom) |
| --- | --- |
| 1 | 0.388 |
| 2 | 0.327 |